# Pu2NiPd

A geometry-optimized Pu2NiPd structure (PBE-GGA, Alexandria via LeMat-Bulk).

- space group = R-3m, No. 166
- formation energy (eV per atom) = 0.082

abc: 2.936 2.936 9.958
angles: 81.52 81.52 60.00
Site moments in Bohr magnetons follow the coordinates.
Fractional coordinates of all 4 atoms:
1 Ni 0.000 0.000 0.000  0.26
2 Pd 0.500 0.500 0.500  0.04
3 Pu 0.254 0.254 0.238  4.69
4 Pu 0.746 0.746 0.762  4.69

---

# Pu3Ni8Pd

A geometry-optimized Pu3Ni8Pd structure (PBE-GGA, Alexandria via LeMat-Bulk).

- space group = R3m, No. 160
- formation energy (eV per atom) = -0.256

abc: 4.963 4.963 8.635
angles: 73.30 73.30 60.00
Site moments in Bohr magnetons follow the coordinates.
Fractional coordinates of all 12 atoms:
1 Pu 0.376 0.376 0.873  5.06
2 Pu 0.996 0.996 0.013  4.93
3 Pu 0.504 0.504 0.488  4.86
4 Ni 0.937 0.436 0.190  -0.31
5 Ni 0.440 0.938 0.684  -0.22
6 Ni 0.436 0.436 0.190  -0.31
7 Ni 0.938 0.938 0.684  -0.22
8 Ni 0.188 0.188 0.437  -0.42
9 Ni 0.688 0.688 0.937  -0.17
10 Ni 0.436 0.937 0.190  -0.31
11 Ni 0.938 0.440 0.684  -0.22
12 Pd 0.873 0.873 0.380  -0.08

---

# PuNiPd

A geometry-optimized PuNiPd structure (PBE-GGA, Alexandria via LeMat-Bulk).

- space group = Cmcm, No. 63
- formation energy (eV per atom) = -0.230

abc: 3.930 3.444 8.238
angles: 77.93 90.00 90.00
Site moments in Bohr magnetons follow the coordinates.
Fractional coordinates of all 6 atoms:
1 Ni 0.750 0.459 0.083  -0.26
2 Ni 0.250 0.541 0.917  -0.26
3 Pd 0.750 0.293 0.413  -0.08
4 Pd 0.250 0.707 0.587  -0.08
5 Pu 0.750 0.108 0.783  5.01
6 Pu 0.250 0.892 0.217  5.01

---

# PuNiPd

A geometry-optimized PuNiPd structure (PBE-GGA, Alexandria via LeMat-Bulk).

- space group = P-6m2, No. 187
- formation energy (eV per atom) = -0.216

abc: 3.500 4.325 4.325
angles: 120.00 90.00 90.00
Site moments in Bohr magnetons follow the coordinates.
Fractional coordinates of all 3 atoms:
1 Ni 0.167 0.333 0.667  -0.31
2 Pd 0.167 0.000 0.000  -0.07
3 Pu 0.667 0.667 0.333  5.14

---

# Pu2NiSb4Pd3

A geometry-optimized Pu2NiSb4Pd3 structure (PBE-GGA, Alexandria via LeMat-Bulk).

- space group = P-4m2, No. 115
- E_form (uncorrected) (eV per atom) = -0.50

abc: 4.575 4.575 10.613
angles: 90.00 90.00 90.00
Site moments in Bohr magnetons follow the coordinates.
Fractional coordinates of all 10 atoms:
1 Pu 0.500 0.000 0.264  5.39
2 Pu 0.000 0.500 0.736  5.39
3 Ni 0.500 0.500 0.500  -0.05
4 Sb 0.500 0.500 0.000  -0.02
5 Sb 0.000 0.000 0.000  -0.02
6 Sb 0.500 0.000 0.623  -0.03
7 Sb 0.000 0.500 0.377  -0.03
8 Pd 0.000 0.000 0.500  -0.02
9 Pd 0.500 0.000 0.866  0.00
10 Pd 0.000 0.500 0.134  0.00

---

# Pu2Ni3Sb4Pd

A geometry-optimized Pu2Ni3Sb4Pd structure (PBE-GGA, Alexandria via LeMat-Bulk).

- space group = P-4m2, No. 115
- E_form (uncorrected) (eV per atom) = -0.47

abc: 4.523 4.523 9.964
angles: 90.00 90.00 90.00
Site moments in Bohr magnetons follow the coordinates.
Fractional coordinates of all 10 atoms:
1 Pu 0.500 0.000 0.251  5.32
2 Pu 0.000 0.500 0.749  5.32
3 Ni 0.000 0.000 0.500  -0.01
4 Ni 0.500 0.000 0.884  0.01
5 Ni 0.000 0.500 0.116  0.01
6 Sb 0.500 0.500 0.000  -0.04
7 Sb 0.000 0.000 0.000  -0.04
8 Sb 0.500 0.000 0.637  -0.03
9 Sb 0.000 0.500 0.363  -0.03
10 Pd 0.500 0.500 0.500  -0.01

---

# Pu2Ni4Sb3Pd

A geometry-optimized Pu2Ni4Sb3Pd structure (PBE-GGA, Alexandria via LeMat-Bulk).

- space group = P-4m2, No. 115
- E_form (uncorrected) (eV per atom) = -0.41

abc: 4.246 4.246 10.455
angles: 90.00 90.00 90.00
Site moments in Bohr magnetons follow the coordinates.
Fractional coordinates of all 10 atoms:
1 Pu 0.500 0.000 0.256  5.24
2 Pu 0.000 0.500 0.744  5.24
3 Ni 0.500 0.500 0.000  -0.01
4 Ni 0.000 0.000 0.000  0.01
5 Ni 0.500 0.000 0.635  -0.09
6 Ni 0.000 0.500 0.365  -0.09
7 Sb 0.000 0.000 0.500  -0.03
8 Sb 0.500 0.000 0.869  -0.03
9 Sb 0.000 0.500 0.131  -0.03
10 Pd 0.500 0.500 0.500  -0.05

---

# PuNiSbPd

A geometry-optimized PuNiSbPd structure (PBE-GGA, Alexandria via LeMat-Bulk).

- space group = F-43m, No. 216
- E_form (uncorrected) (eV per atom) = -0.37

abc: 4.749 4.749 4.749
angles: 60.00 60.00 60.00
Site moments in Bohr magnetons follow the coordinates.
Fractional coordinates of all 4 atoms:
1 Sb 0.250 0.250 0.250  -0.03
2 Ni 0.000 0.000 0.000  -0.25
3 Pd 0.500 0.500 0.500  -0.05
4 Pu 0.750 0.750 0.750  5.06

---

# Pu2Si4Ni3Pd

A geometry-optimized Pu2Si4Ni3Pd structure (PBE-GGA, Alexandria via LeMat-Bulk).

- space group = P-4m2, No. 115
- E_form (uncorrected) (eV per atom) = -0.66

abc: 4.018 4.018 9.684
angles: 90.00 90.00 90.00
Site moments in Bohr magnetons follow the coordinates.
Fractional coordinates of all 10 atoms:
1 Pu 0.500 0.000 0.241  5.00
2 Pu 0.000 0.500 0.759  5.00
3 Si 0.500 0.500 0.000  -0.03
4 Si 0.000 0.000 0.000  -0.03
5 Si 0.500 0.000 0.642  -0.01
6 Si 0.000 0.500 0.358  -0.01
7 Ni 0.000 0.000 0.500  0.16
8 Ni 0.500 0.000 0.880  0.01
9 Ni 0.000 0.500 0.120  0.01
10 Pd 0.500 0.500 0.500  0.05

---

# PuSiNiPd

A geometry-optimized PuSiNiPd structure (PBE-GGA, Alexandria via LeMat-Bulk).

- space group = R3m, No. 160
- E_form (uncorrected) (eV per atom) = -0.43

abc: 4.032 4.032 5.627
angles: 69.01 69.01 60.00
Site moments in Bohr magnetons follow the coordinates.
Fractional coordinates of all 4 atoms:
1 Pu 0.816 0.816 0.552  5.20
2 Si 0.615 0.615 0.155  -0.02
3 Ni 0.274 0.274 0.179  0.05
4 Pd 0.021 0.021 0.937  -0.01

---

# PuNiSnPd

A geometry-optimized PuNiSnPd structure (PBE-GGA, Alexandria via LeMat-Bulk).

- space group = F-43m, No. 216
- formation energy (eV per atom) = -0.331

abc: 4.756 4.756 4.756
angles: 60.00 60.00 60.00
Site moments in Bohr magnetons follow the coordinates.
Fractional coordinates of all 4 atoms:
1 Ni 0.500 0.500 0.500  -0.18
2 Sn 0.250 0.250 0.250  -0.02
3 Pd 0.000 0.000 0.000  -0.03
4 Pu 0.750 0.750 0.750  5.02

---

# PuTlNiPd

A geometry-optimized PuTlNiPd structure (PBE-GGA, Alexandria via LeMat-Bulk).

- space group = F-43m, No. 216
- formation energy (eV per atom) = -0.106

abc: 4.806 4.806 4.806
angles: 60.00 60.00 60.00
Site moments in Bohr magnetons follow the coordinates.
Fractional coordinates of all 4 atoms:
1 Ni 0.000 0.000 0.000  -0.17
2 Tl 0.250 0.250 0.250  0.01
3 Pd 0.500 0.500 0.500  -0.02
4 Pu 0.750 0.750 0.750  5.15